The following is a DFT calculation (GGA-PBEsol) of a geometry-optimized NiRuPt2 structure.

Results
Calculated density ... 16.94 Mg/m³
Relative energy among the computed polymorphs ... 37 meV per atom
Size of the total moment ... 0.00 μB per formula unit
Crystal system ... tetragonal

Lattice parameters (Å, degrees): 3.781 3.781 4.622 114.14 114.14 90.00
Element x y z (fractional)
Pt: 0.500 0.500 0.000
Pt: 0.750 0.250 0.500
Ru: 0.000 0.000 0.000
Ni: 0.250 0.750 0.500

The following is a DFT calculation (GGA-PBEsol) of a geometry-optimized LaBeIr2 structure.

Results
Calculated density ... 10.35 Mg/m³
Size of the total moment ... 0.00 μB per formula unit
Raw total energy ... -59.3 eV for the cell shown
Crystal system ... tetragonal

Lattice parameters (Å, degrees): 4.762 4.762 8.255 106.76 106.76 90.00
Element x y z (fractional)
La: 0.000 0.000 0.000
Ir: 0.125 0.375 0.750
La: 0.250 0.750 0.500
Be: 0.750 0.250 0.500
Ir: 0.625 0.375 0.250
Be: 0.500 0.500 0.000
Ir: 0.625 0.375 0.750
Ir: 0.625 0.875 0.250

The following is a DFT calculation (GGA-PBEsol) of a geometry-optimized BeAu2Br structure.

Results
Calculated density ... 8.69 Mg/m³
ΔE_f (raw) ... -0.06 eV/atom
Size of the total moment ... 0.00 μB per formula unit
Crystal system ... monoclinic

Lattice parameters (Å, degrees): 3.012 5.192 6.436 105.96 90.00 106.86
Element x y z (fractional)
Au: 0.901 0.802 0.808
Be: 0.489 0.977 0.577
Br: 0.941 0.882 0.318
Au: 0.170 0.339 0.797

The following is a DFT calculation (GGA-PBEsol) of a geometry-optimized SrCrP2O structure.

Results
Calculated density ... 2.99 Mg/m³
ΔE_f (raw) ... 1.06 eV/atom
Size of the total moment ... 2.42 μB per formula unit
Crystal system ... tetragonal

Lattice parameters (Å, degrees): 4.252 5.332 5.332 90.00 90.00 90.00
Each line ends with the local moment (μB).
Element x y z (fractional)
P: 0.000 0.000 0.500  -0.32
Sr: 0.000 0.000 0.000  -0.04
P: 0.000 0.500 0.000  -0.32
Cr: 0.500 0.500 0.500  3.99
O: 0.500 0.000 0.000  -0.53

> Which of these has the highest calculated density?

NiRuPt2